Crystalline AlFePd2 at its relaxed geometry. Source: OQMD via LeMat-Bulk, functional PBE.

The structure in POSCAR format:
```
AlFePd2
1.0
0.0000 3.0287 3.0287
3.0287 0.0000 3.0287
3.0287 3.0287 0.0000
Al Fe Pd
1 1 2
Cartesian
0.0000 0.0000 0.0000 Al
1.5143 1.5143 1.5143 Fe
3.0287 3.0287 3.0287 Pd
4.5430 4.5430 4.5430 Pd
```

Calculated values
Final energy: -23.69 eV/f.u.

Crystalline TaPdAu at its relaxed geometry. Source: OQMD via LeMat-Bulk, functional PBE.

The structure in POSCAR format:
```
TaPdAu
1.0
0.0000 3.0807 3.0807
3.0807 0.0000 3.0807
3.0807 3.0807 0.0000
Ta Pd Au
1 1 1
Cartesian
0.0000 0.0000 0.0000 Ta
4.6210 4.6210 4.6210 Pd
3.0807 3.0807 3.0807 Au
```

Calculated values
ΔE to the lowest computed polymorph: 0.007 eV per atom

Crystalline GdTcTe at its relaxed geometry. Source: OQMD via LeMat-Bulk, functional PBE.

The structure in POSCAR format:
```
GdTcTe
1.0
0.0000 3.4217 3.4217
3.4217 0.0000 3.4217
3.4217 3.4217 0.0000
Gd Tc Te
1 1 1
Cartesian
0.0000 0.0000 0.0000 Gd
5.1325 5.1325 5.1325 Tc
1.7108 1.7108 1.7108 Te
```

Calculated values
ΔE to the lowest computed polymorph: 0.484 eV per atom

Crystalline PuGePt at its relaxed geometry. Source: OQMD via LeMat-Bulk, functional PBE.

The structure in POSCAR format:
```
PuGePt
1.0
-2.2120 3.5733 3.8245
2.2120 -3.5733 3.8245
2.2120 3.5733 -3.8245
Pu Ge Pt
2 2 2
Cartesian
0.0000 0.0000 0.0000 Pu
0.0000 3.5733 0.6797 Pu
2.2120 -1.3829 1.5843 Ge
2.2120 1.3829 1.5843 Ge
2.2120 2.0616 -0.9368 Pt
0.0000 1.5118 2.8877 Pt
```

Calculated values
Final energy: -27.39 eV/f.u.

Crystalline TcPIrO at its relaxed geometry. Source: OQMD via LeMat-Bulk, functional PBE.

The structure in POSCAR format:
```
TcPIrO
1.0
3.7958 0.0000 0.0000
0.0000 3.7958 0.0000
0.0000 0.0000 6.7838
Tc P Ir O
2 2 2 2
Cartesian
0.9490 0.9490 1.1600 Tc
2.8469 2.8469 5.6238 Tc
0.9490 0.9490 4.8633 P
2.8469 2.8469 1.9206 P
0.9490 2.8469 3.3919 Ir
2.8469 0.9490 3.3919 Ir
0.9490 2.8469 0.0000 O
2.8469 0.9490 0.0000 O
```

Calculated values
ΔE to the lowest computed polymorph: 0.152 eV per atom

Crystalline NaGd2 at its relaxed geometry. Source: OQMD via LeMat-Bulk, functional PBE.

The structure in POSCAR format:
```
NaGd2
1.0
0.0000 6.7612 6.7612
6.7612 0.0000 6.7612
6.7612 6.7612 0.0000
Na Gd
2 4
Cartesian
1.6903 1.6903 1.6903 Na
11.8321 11.8321 11.8321 Na
0.0000 0.0000 0.0000 Gd
3.3806 3.3806 0.0000 Gd
3.3806 0.0000 3.3806 Gd
0.0000 3.3806 3.3806 Gd
```

Calculated values
ΔE to the lowest computed polymorph: 1.927 eV per atom

Crystalline TmCuAu4 at its relaxed geometry. Source: OQMD via LeMat-Bulk, functional PBE.

The structure in POSCAR format:
```
TmCuAu4
1.0
3.5714 0.0000 0.0000
0.0000 3.5714 0.0000
0.0000 0.0000 8.7395
Tm Cu Au
1 1 4
Cartesian
0.0000 0.0000 0.0000 Tm
1.7857 1.7857 4.3698 Cu
0.0000 0.0000 3.0097 Au
0.0000 0.0000 5.7298 Au
1.7857 1.7857 1.5864 Au
1.7857 1.7857 7.1531 Au
```

Calculated values
Final energy: -23.66 eV/f.u.

Crystalline SrGdAs at its relaxed geometry. Source: OQMD via LeMat-Bulk, functional PBE.

The structure in POSCAR format:
```
SrGdAs
1.0
0.0000 3.5635 3.5635
3.5635 0.0000 3.5635
3.5635 3.5635 0.0000
Sr Gd As
1 1 1
Cartesian
0.0000 0.0000 0.0000 Sr
3.5635 3.5635 3.5635 Gd
5.3453 5.3453 5.3453 As
```

Calculated values
Final energy: -13.01 eV/f.u.

Crystalline CdGe2Pd at its relaxed geometry. Source: OQMD via LeMat-Bulk, functional PBE.

The structure in POSCAR format:
```
CdGe2Pd
1.0
0.0000 3.3271 3.3271
3.3271 0.0000 3.3271
3.3271 3.3271 0.0000
Cd Ge Pd
1 2 1
Cartesian
0.0000 0.0000 0.0000 Cd
1.6636 1.6636 1.6636 Ge
3.3271 3.3271 3.3271 Ge
4.9907 4.9907 4.9907 Pd
```

Calculated values
Final energy: -15.03 eV/f.u.

Crystalline LaGa3Pd at its relaxed geometry. Source: OQMD via LeMat-Bulk, functional PBE.

The structure in POSCAR format:
```
LaGa3Pd
1.0
-2.1901 2.1901 5.2997
2.1901 -2.1901 5.2997
2.1901 2.1901 -5.2997
La Ga Pd
1 3 1
Cartesian
0.0000 0.0000 0.0000 La
2.1901 0.0000 2.5625 Ga
0.0000 0.0000 6.2798 Ga
0.0000 2.1901 2.5625 Ga
0.0000 0.0000 3.8007 Pd
```

Calculated values
Final energy: -22.92 eV/f.u.

Crystalline BaSrHo at its relaxed geometry. Source: OQMD via LeMat-Bulk, functional PBE.

The structure in POSCAR format:
```
BaSrHo
1.0
0.0000 4.3923 4.3923
4.3923 0.0000 4.3923
4.3923 4.3923 0.0000
Ba Sr Ho
1 1 1
Cartesian
0.0000 0.0000 0.0000 Ba
4.3923 4.3923 4.3923 Sr
2.1961 2.1961 2.1961 Ho
```

Calculated values
ΔE to the lowest computed polymorph: 0.000 eV per atom

Crystalline AcNbCo at its relaxed geometry. Source: OQMD via LeMat-Bulk, functional PBE.

The structure in POSCAR format:
```
AcNbCo
1.0
0.0000 3.2548 3.2548
3.2548 0.0000 3.2548
3.2548 3.2548 0.0000
Ac Nb Co
1 1 1
Cartesian
0.0000 0.0000 0.0000 Ac
4.8821 4.8821 4.8821 Nb
3.2548 3.2548 3.2548 Co
```

Calculated values
ΔE to the lowest computed polymorph: 0.719 eV per atom

Crystalline Rb2AgPbCl6 at its relaxed geometry. Source: OQMD via LeMat-Bulk, functional PBE.

The structure in POSCAR format:
```
Rb2AgPbCl6
1.0
6.5610 -3.7915 0.0000
6.5610 3.7915 0.0000
-4.3700 0.0000 6.1903
Rb Ag Pb Cl
2 1 1 6
Cartesian
2.1863 0.0000 1.5473 Rb
6.5657 0.0000 4.6430 Rb
-2.1850 0.0000 3.0952 Ag
6.5610 0.0000 0.0000 Pb
5.4372 1.9363 1.5774 Cl
-0.0397 0.0000 4.6015 Cl
3.3148 1.9363 4.6129 Cl
5.4372 -1.9363 1.5774 Cl
8.7917 0.0000 1.5888 Cl
3.3148 -1.9363 4.6129 Cl
```

Calculated values
ΔE to the lowest computed polymorph: 0.006 eV per atom

Crystalline Tm4Cd3Co2 at its relaxed geometry. Source: OQMD via LeMat-Bulk, functional PBE.

The structure in POSCAR format:
```
Tm4Cd3Co2
1.0
7.3048 0.0000 0.0000
0.0000 3.6141 0.0000
-2.5647 0.0000 7.5073
Tm Cd Co
4 3 2
Cartesian
0.1091 0.0000 1.6815 Tm
1.1435 0.0000 5.1341 Tm
3.5966 0.0000 2.3731 Tm
4.6310 0.0000 5.8257 Tm
-1.2824 1.8070 3.7536 Cd
2.1361 1.8070 0.0090 Cd
2.6040 1.8070 7.4983 Cd
1.5477 1.8070 2.9610 Co
3.1924 1.8070 4.5463 Co
```

Calculated values
Final energy: -37.64 eV/f.u.

Crystalline Ni2HgGe at its relaxed geometry. Source: OQMD via LeMat-Bulk, functional PBE.

The structure in POSCAR format:
```
Ni2HgGe
1.0
0.0000 3.1056 3.1056
3.1056 0.0000 3.1056
3.1056 3.1056 0.0000
Ni Hg Ge
2 1 1
Cartesian
0.0000 0.0000 0.0000 Ni
1.5528 1.5528 1.5528 Ni
4.6584 4.6584 4.6584 Hg
3.1056 3.1056 3.1056 Ge
```

Calculated values
Final energy: -14.83 eV/f.u.

Crystalline NaGaNiSn at its relaxed geometry. Source: OQMD via LeMat-Bulk, functional PBE.

The structure in POSCAR format:
```
NaGaNiSn
1.0
0.0000 3.3346 3.3346
3.3346 0.0000 3.3346
3.3346 3.3346 0.0000
Na Ga Ni Sn
1 1 1 1
Cartesian
0.0000 0.0000 0.0000 Na
3.3346 3.3346 3.3346 Ga
1.6673 1.6673 1.6673 Ni
5.0019 5.0019 5.0019 Sn
```

Calculated values
ΔE to the lowest computed polymorph: 0.184 eV per atom

Crystalline Pr2Ho2CIBr4 at its relaxed geometry. Source: OQMD via LeMat-Bulk, functional PBE.

The structure in POSCAR format:
```
Pr2Ho2CIBr4
1.0
9.0616 -1.9769 0.0000
9.0616 1.9769 0.0000
-1.9972 0.0000 8.7143
Pr Ho C I Br
2 2 1 1 4
Cartesian
-0.5824 0.0000 2.6500 Pr
16.7085 0.0000 6.0643 Pr
5.7372 0.0000 3.7696 Ho
10.3888 0.0000 4.9447 Ho
8.0630 0.0000 4.3571 C
9.0616 0.0000 0.0000 I
1.4653 0.0000 7.0000 Br
2.4441 0.0000 3.1459 Br
13.6819 0.0000 5.5684 Br
14.6607 0.0000 1.7143 Br
```

Calculated values
ΔE to the lowest computed polymorph: 0.000 eV per atom

Crystalline PaTlSi at its relaxed geometry. Source: OQMD via LeMat-Bulk, functional PBE.

The structure in POSCAR format:
```
PaTlSi
1.0
0.0000 3.4790 3.4790
3.4790 0.0000 3.4790
3.4790 3.4790 0.0000
Pa Tl Si
1 1 1
Cartesian
0.0000 0.0000 0.0000 Pa
1.7395 1.7395 1.7395 Tl
5.2186 5.2186 5.2186 Si
```

Calculated values
ΔE to the lowest computed polymorph: 0.163 eV per atom

Crystalline ScReNO at its relaxed geometry. Source: OQMD via LeMat-Bulk, functional PBE.

The structure in POSCAR format:
```
ScReNO
1.0
3.2228 -3.2268 0.0000
3.2228 3.2268 0.0000
0.0000 0.0000 4.1711
Sc Re N O
2 2 2 2
Cartesian
1.6114 0.0000 0.0000 Sc
4.8341 0.0000 0.0000 Sc
3.2228 1.6134 2.0929 Re
3.2228 -1.6134 2.0782 Re
3.2228 1.6134 0.0087 N
3.2228 -1.6134 4.1624 N
1.6114 0.0000 2.0855 O
4.8341 0.0000 2.0855 O
```

Calculated values
ΔE to the lowest computed polymorph: 0.757 eV per atom

Crystalline NaLuCoS3 at its relaxed geometry. Source: OQMD via LeMat-Bulk, functional PBE.

The structure in POSCAR format:
```
NaLuCoS3
1.0
7.9436 0.0000 0.0000
0.0000 3.7796 0.0000
-2.1221 0.0000 8.6070
Na Lu Co S
2 2 2 6
Cartesian
1.0552 0.9449 1.7885 Na
4.7663 2.8347 6.8185 Na
0.8094 2.8347 7.3441 Lu
5.0121 0.9449 1.2629 Lu
-0.6042 0.9449 5.0420 Co
6.4257 2.8347 3.5650 Co
-1.0526 0.9449 7.2883 S
0.4249 2.8347 4.5698 S
3.1296 2.8347 1.3880 S
2.6919 0.9449 7.2190 S
5.3967 0.9449 4.0371 S
6.8741 2.8347 1.3187 S
```

Calculated values
ΔE to the lowest computed polymorph: 0.000 eV per atom